[1]
{
  "formula": "BaCdAg2",
  "functional": "PBEsol",
  "state": "optimized geometry",
  "total_energy_ev_per_atom": -2.574,
  "n_ef_per_ev_cell": 1.6,
  "formation_enthalpy_0k_kj_per_mol_atoms": -7.9,
  "space_group": "P2/m",
  "lattice": [[-2.958, -1.848, -0.879], [2.091, -2.829, -1.087], [2.708, -0.955, 7.695]],
  "species": ["Ba", "Ag", "Ag", "Cd"],
  "frac_coords": [[0.500, 0.500, 0.000], [0.688, 0.000, 0.689], [0.312, 0.000, 0.311], [0.000, 0.500, 0.500]]
}



[2]
{
  "formula": "Ba2CdAg",
  "functional": "PBEsol",
  "state": "optimized geometry",
  "total_energy_ev_per_atom": -2.333,
  "n_ef_per_ev_cell": 2.3,
  "formation_enthalpy_0k_kj_per_mol_atoms": -12.7,
  "space_group": "P4mm",
  "lattice": [[3.914, 0.000, 0.000], [0.000, 3.914, 0.000], [0.000, 0.000, 9.174]],
  "species": ["Ba", "Ba", "Ag", "Cd"],
  "frac_coords": [[0.000, 0.000, 0.923], [0.500, 0.500, 0.325], [0.500, 0.500, 0.692], [0.000, 0.000, 0.560]]
}



no.,magnetic moment (Bohr magnetons per cell)
1,0.00
2,0.00